Crystalline Tl2SiP at its relaxed geometry, computed with PBE.

abc: 5.9913 5.9913 5.8856
angles: 118.25 118.25 33.81
Fractional coordinates of all 4 atoms:
Tl  0.0000  0.0000  0.0000
Tl  0.1809  0.1809  0.6951
Si  0.7716  0.7716  0.3474
P  0.3945  0.3945  0.3392

Crystalline TlSiP2 at its relaxed geometry, computed with PBE.

abc: 5.1468 5.1468 6.2380
angles: 115.61 115.61 37.30
Fractional coordinates of all 4 atoms:
Tl  0.0000  0.0000  0.0000
Si  0.7331  0.7331  0.4806
P  0.0911  0.0911  0.5691
P  0.3859  0.3859  0.4196

Crystalline TlSi2P at its relaxed geometry, computed with PBE.

abc: 5.1696 5.1696 6.6247
angles: 120.25 120.25 37.41
Fractional coordinates of all 4 atoms:
Tl  0.0000  0.0000  0.0000
Si  0.1968  0.1968  0.5867
Si  0.8032  0.8032  0.4133
P  0.5000  0.5000  0.5000

Crystalline TlSi2P at its relaxed geometry, computed with PBE.

abc: 4.7689 4.7689 4.7689
angles: 60.00 60.00 60.00
Fractional coordinates of all 4 atoms:
Tl  0.0000  0.0000  0.0000
Si  0.2500  0.2500  0.2500
Si  0.7500  0.7500  0.7500
P  0.5000  0.5000  0.5000

Crystalline TlSi2P at its relaxed geometry, computed with PBE.

abc: 5.8551 5.8551 2.8789
angles: 104.13 104.13 117.96
Fractional coordinates of all 4 atoms:
Tl  0.0000  0.0000  0.0000
Si  0.0000  0.5000  0.0000
Si  0.5000  0.0000  0.0000
P  0.5000  0.5000  0.0000

Crystalline Tl2SiP at its relaxed geometry, computed with PBE.

abc: 7.4603 7.4603 7.4603
angles: 130.80 130.80 72.13
Fractional coordinates of all 8 atoms:
Tl  0.1235  0.6250  0.9985
Tl  0.3750  0.3735  0.4985
Tl  0.6265  0.1250  0.0015
Tl  0.8750  0.8765  0.5015
Si  0.2500  0.7500  0.5000
Si  0.5000  0.5000  0.0000
P  0.0000  0.0000  0.0000
P  0.7500  0.2500  0.5000

Crystalline TlSiP2 at its relaxed geometry, computed with PBE.

abc: 3.6988 4.0142 6.0686
angles: 90.00 95.60 90.00
Fractional coordinates of all 4 atoms:
Tl  0.0000  0.0000  0.0000
Si  0.1405  0.5000  0.5519
P  0.4606  0.0000  0.5644
P  0.6241  0.5000  0.3152

Crystalline TlSiP2 at its relaxed geometry, computed with PBE.

abc: 4.7401 4.7401 4.7401
angles: 60.00 60.00 60.00
Fractional coordinates of all 4 atoms:
Tl  0.0000  0.0000  0.0000
Si  0.5000  0.5000  0.5000
P  0.2500  0.2500  0.2500
P  0.7500  0.7500  0.7500

Raw formation energy for every record listed, in sequence, given in eV per formula unit: 0.6; 1.2; 1.5; 3.2; 3.0; 1.9; 1.1; 3.0.
Energy above the most stable polymorph in this dataset for every record listed, in sequence, given in meV per atom: 118; 204; 113; 537; 494; 434; 183; 671.
DOS(E_F) for every record listed, in sequence, given in states/eV/cell: 1.04; 1.52; 1.29; 2.93; 1.31; 4.91; 1.33; 2.65.